1.
Material: Er4SiBiTe2
Method: DFT, PBE
State: relaxed

Lattice parameters (Å, degrees): 7.4801 4.2841 7.5012 90.00 109.21 90.00
Fractional coordinates of all 8 atoms:
Er1 0.2229 0.0000 0.2245
Er2 0.2319 0.5000 0.7646
Er3 0.7681 0.5000 0.2354
Er4 0.7771 0.0000 0.7755
Si1 0.0000 0.5000 0.0000
Bi1 0.0000 0.0000 0.5000
Te1 0.5000 0.0000 0.0000
Te2 0.5000 0.5000 0.5000

The density of states at the Fermi level is 1.75 states/eV per cell. As for the raw formation energy: -1.07 eV/atom. For the spin magnetization, the calculation gives 0.000 μB per cell. Its space group is P2/m, No. 10. The total energy comes out at -5.30 eV/atom.



2.
Material: Er6Si2BiTe3
Method: DFT, PBE
State: relaxed

Lattice parameters (Å, degrees): 9.5902 9.5902 8.6404 103.26 103.26 25.62
Fractional coordinates of all 12 atoms:
Er1 0.0136 0.0136 0.2566
Er2 0.3250 0.3250 0.4334
Er3 0.3298 0.3298 0.8841
Er4 0.6702 0.6702 0.1159
Er5 0.6750 0.6750 0.5666
Er6 0.9864 0.9864 0.7434
Si1 0.1685 0.1685 0.3374
Si2 0.8315 0.8315 0.6626
Bi1 0.5000 0.5000 0.0000
Te1 0.1621 0.1621 0.8347
Te2 0.5000 0.5000 0.5000
Te3 0.8379 0.8379 0.1653

The density of states at the Fermi level is 2.74 states/eV per cell. As for the raw formation energy: -1.08 eV/atom. For the spin magnetization, the calculation gives 0.000 μB per cell. Its space group is C2/m, No. 12. The total energy comes out at -5.37 eV/atom.